Record 1
A relaxed structure of Cs2BaAsF6. Source: Alexandria, functional GGA-PBE.

POSCAR file:
```
Cs2BaAsF6
1.0
6.5414 0.0000 0.0000
0.0000 6.5414 0.0000
3.2707 3.2707 5.8844
Ba Cs F As
1 2 6 1
direct
0.0000 0.0000 0.0000
0.7500 0.2500 0.5000
0.2500 0.7500 0.5000
0.7845 0.7845 0.4311
0.7220 0.7220 0.0000
0.2780 0.2780 0.0000
0.2155 0.2155 0.5689
0.7220 0.2780 0.0000
0.2780 0.7220 0.0000
0.5000 0.5000 0.0000
```

## Properties
* ρ: 3.90 g/cm3
* volume: 251.8 Å³ per cell
* raw formation energy: -2.657 eV per atom
* symmetry: I4/mmm, No. 139

---

Record 2
A relaxed structure of La2TiAg. Source: Alexandria, functional GGA-PBE.

POSCAR file:
```
La2TiAg
1.0
8.3955 0.0000 0.0000
0.0000 8.3955 0.0000
4.1977 4.1977 3.1618
Ag La Ti
2 4 2
direct
0.0000 0.0000 0.0000
0.7500 0.2500 0.5000
0.1217 0.6250 0.2500
0.8750 0.8783 0.7500
0.3750 0.3717 0.7500
0.6283 0.1250 0.2500
0.5000 0.5000 0.0000
0.2500 0.7500 0.5000
```

## Properties
* ρ: 6.46 g/cm3
* E above lowest polymorph: 0.296 eV per atom
* volume: 222.9 Å³ per cell
* symmetry: I-42d, No. 122
* energy relative to the elements: 1.5 eV per formula unit